# GGA-PBE AlSbMo, optimized geometry
# - Energy relative to the elements, uncorrected: 7.86 kcal/mol of atoms
# - Energy above the lowest structure with this stoichiometry: 141 kJ/mol of formula units
data_AlSbMo
_chemical_formula_sum 'Al4 Sb4 Mo4'
_cell_length_a 3.734
_cell_length_b 4.684
_cell_length_c 13.312
_cell_angle_alpha 90.00
_cell_angle_beta 90.00
_cell_angle_gamma 90.00
_symmetry_space_group_name_H-M 'F m m 2'
_symmetry_Int_Tables_number 42
_symmetry_space_group_name_Hall 'F 2 -2'
loop_
_atom_site_label
_atom_site_type_symbol
_atom_site_fract_x
_atom_site_fract_y
_atom_site_fract_z
_atom_site_occupancy
Al1 Al 0.000 0.000 0.000 1
Sb1 Sb 0.000 0.000 0.701 1
Mo1 Mo 0.000 0.000 0.361 1

=====

# GGA-PBE AlSbMo, optimized geometry
# - Energy relative to the elements, uncorrected: 7.60 kcal/mol of atoms
# - Energy above the lowest structure with this stoichiometry: 138 kJ/mol of formula units
data_AlSbMo
_chemical_formula_sum 'Al4 Sb4 Mo4'
_cell_length_a 6.287
_cell_length_b 6.287
_cell_length_c 6.287
_cell_angle_alpha 90.00
_cell_angle_beta 90.00
_cell_angle_gamma 90.00
_symmetry_space_group_name_H-M 'P 21 3'
_symmetry_Int_Tables_number 198
_symmetry_space_group_name_Hall 'P 2ac 2ab 3'
loop_
_atom_site_label
_atom_site_type_symbol
_atom_site_fract_x
_atom_site_fract_y
_atom_site_fract_z
_atom_site_occupancy
Al1 Al 0.024 0.024 0.024 1
Sb1 Sb 0.026 0.974 0.474 1
Mo1 Mo 0.217 0.283 0.717 1

=====

# GGA-PBE AlSb3Mo, optimized geometry
# - Energy relative to the elements, uncorrected: 14.35 kcal/mol of atoms
# - Energy above the lowest structure with this stoichiometry: 0 kJ/mol of formula units
data_AlSb3Mo
_chemical_formula_sum 'Al1 Sb3 Mo1'
_cell_length_a 5.260
_cell_length_b 5.260
_cell_length_c 5.260
_cell_angle_alpha 90.00
_cell_angle_beta 90.00
_cell_angle_gamma 90.00
_symmetry_space_group_name_H-M 'P m -3 m'
_symmetry_Int_Tables_number 221
_symmetry_space_group_name_Hall '-P 4 2 3'
loop_
_atom_site_label
_atom_site_type_symbol
_atom_site_fract_x
_atom_site_fract_y
_atom_site_fract_z
_atom_site_occupancy
Al1 Al 0.000 0.000 0.000 1
Sb1 Sb 0.000 0.500 0.500 1
Mo1 Mo 0.500 0.500 0.500 1

=====

# GGA-PBE AlSb3Mo, optimized geometry
# - Energy relative to the elements, uncorrected: 31.40 kcal/mol of atoms
# - Energy above the lowest structure with this stoichiometry: 357 kJ/mol of formula units
data_AlSb3Mo
_chemical_formula_sum 'Al1 Sb3 Mo1'
_cell_length_a 5.143
_cell_length_b 5.143
_cell_length_c 5.143
_cell_angle_alpha 90.00
_cell_angle_beta 90.00
_cell_angle_gamma 90.00
_symmetry_space_group_name_H-M 'P m -3 m'
_symmetry_Int_Tables_number 221
_symmetry_space_group_name_Hall '-P 4 2 3'
loop_
_atom_site_label
_atom_site_type_symbol
_atom_site_fract_x
_atom_site_fract_y
_atom_site_fract_z
_atom_site_occupancy
Al1 Al 0.000 0.000 0.000 1
Sb1 Sb 0.000 0.000 0.500 1
Mo1 Mo 0.500 0.500 0.500 1

=====

# GGA-PBE Al3SbMo, optimized geometry
# - Energy relative to the elements, uncorrected: 15.07 kcal/mol of atoms
# - Energy above the lowest structure with this stoichiometry: 0 kJ/mol of formula units
data_Al3SbMo
_chemical_formula_sum 'Al3 Sb1 Mo1'
_cell_length_a 4.874
_cell_length_b 4.874
_cell_length_c 4.874
_cell_angle_alpha 90.00
_cell_angle_beta 90.00
_cell_angle_gamma 90.00
_symmetry_space_group_name_H-M 'P m -3 m'
_symmetry_Int_Tables_number 221
_symmetry_space_group_name_Hall '-P 4 2 3'
loop_
_atom_site_label
_atom_site_type_symbol
_atom_site_fract_x
_atom_site_fract_y
_atom_site_fract_z
_atom_site_occupancy
Al1 Al 0.000 0.000 0.500 1
Sb1 Sb 0.500 0.500 0.500 1
Mo1 Mo 0.000 0.000 0.000 1

=====

# GGA-PBE AlSbMo, optimized geometry
# - Energy relative to the elements, uncorrected: -3.38 kcal/mol of atoms
# - Energy above the lowest structure with this stoichiometry: 0 kJ/mol of formula units
data_AlSbMo
_chemical_formula_sum 'Al2 Sb2 Mo2'
_cell_length_a 3.469
_cell_length_b 3.469
_cell_length_c 8.652
_cell_angle_alpha 90.00
_cell_angle_beta 90.00
_cell_angle_gamma 90.00
_symmetry_space_group_name_H-M 'I 4 m m'
_symmetry_Int_Tables_number 107
_symmetry_space_group_name_Hall 'I 4 -2'
loop_
_atom_site_label
_atom_site_type_symbol
_atom_site_fract_x
_atom_site_fract_y
_atom_site_fract_z
_atom_site_occupancy
Al1 Al 0.000 0.000 0.000 1
Sb1 Sb 0.000 0.000 0.679 1
Mo1 Mo 0.000 0.000 0.343 1

=====

# GGA-PBE AlSbMo, optimized geometry
# - Energy relative to the elements, uncorrected: 9.29 kcal/mol of atoms
# - Energy above the lowest structure with this stoichiometry: 159 kJ/mol of formula units
data_AlSbMo
_chemical_formula_sum 'Al4 Sb4 Mo4'
_cell_length_a 6.318
_cell_length_b 6.318
_cell_length_c 6.318
_cell_angle_alpha 90.00
_cell_angle_beta 90.00
_cell_angle_gamma 90.00
_symmetry_space_group_name_H-M 'F -4 3 m'
_symmetry_Int_Tables_number 216
_symmetry_space_group_name_Hall 'F -4 2 3'
loop_
_atom_site_label
_atom_site_type_symbol
_atom_site_fract_x
_atom_site_fract_y
_atom_site_fract_z
_atom_site_occupancy
Al1 Al 0.000 0.000 0.000 1
Sb1 Sb 0.000 0.000 0.500 1
Mo1 Mo 0.250 0.250 0.750 1

=====

# GGA-PBE AlSbMo, optimized geometry
# - Energy relative to the elements, uncorrected: 8.39 kcal/mol of atoms
# - Energy above the lowest structure with this stoichiometry: 148 kJ/mol of formula units
data_AlSbMo
_chemical_formula_sum 'Al1 Sb1 Mo1'
_cell_length_a 4.7796
_cell_length_b 4.7796
_cell_length_c 2.8545
_cell_angle_alpha 90.00
_cell_angle_beta 90.00
_cell_angle_gamma 120.00
_symmetry_space_group_name_H-M 'P -6 m 2'
_symmetry_Int_Tables_number 187
_symmetry_space_group_name_Hall 'P -6 2'
loop_
_atom_site_label
_atom_site_type_symbol
_atom_site_fract_x
_atom_site_fract_y
_atom_site_fract_z
_atom_site_occupancy
Al1 Al 0.0000 0.0000 0.0000 1
Sb1 Sb 0.3333 0.6667 0.5000 1
Mo1 Mo 0.6667 0.3333 0.5000 1

=====

# GGA-PBE AlSbMo, optimized geometry
# - Energy relative to the elements, uncorrected: 2.96 kcal/mol of atoms
# - Energy above the lowest structure with this stoichiometry: 80 kJ/mol of formula units
data_AlSbMo
_chemical_formula_sum 'Al1 Sb1 Mo1'
_cell_length_a 3.2045
_cell_length_b 3.2045
_cell_length_c 6.4807
_cell_angle_alpha 90.00
_cell_angle_beta 90.00
_cell_angle_gamma 120.00
_symmetry_space_group_name_H-M 'P 3 m 1'
_symmetry_Int_Tables_number 156
loop_
_symmetry_equiv_pos_as_xyz
'x,y,z'
'-y,x-y,z'
'-x+y,-x,z'
'-y,-x,z'
'-x+y,y,z'
'x,x-y,z'
loop_
_atom_site_label
_atom_site_type_symbol
_atom_site_fract_x
_atom_site_fract_y
_atom_site_fract_z
_atom_site_occupancy
Al1 Al 0.0000 0.0000 0.0000 1
Sb1 Sb 0.3333 0.6667 0.6108 1
Mo1 Mo 0.6667 0.3333 0.2979 1

=====

# GGA-PBE Sc2AlMo, optimized geometry
# - ΔE_f: -118 meV/atom
data_Sc2AlMo
_chemical_formula_sum 'Sc4 Al2 Mo2'
_cell_length_a 4.180
_cell_length_b 4.180
_cell_length_c 8.526
_cell_angle_alpha 90.00
_cell_angle_beta 90.00
_cell_angle_gamma 90.00
_symmetry_space_group_name_H-M 'I -4 m 2'
_symmetry_Int_Tables_number 119
_symmetry_space_group_name_Hall 'I -4 -2'
loop_
_atom_site_label
_atom_site_type_symbol
_atom_site_fract_x
_atom_site_fract_y
_atom_site_fract_z
_atom_site_occupancy
Sc1 Sc 0.000 0.000 0.000 1
Sc2 Sc 0.000 0.500 0.250 1
Al1 Al 0.000 0.500 0.750 1
Mo1 Mo 0.000 0.000 0.500 1

=====

# GGA-PBE ScAlMo3, optimized geometry
# - ΔE_f: 1157 meV/atom
# - Energy above the lowest structure with this stoichiometry: 0 kJ/mol of formula units
data_ScAlMo3
_chemical_formula_sum 'Sc1 Al1 Mo3'
_cell_length_a 4.607
_cell_length_b 4.607
_cell_length_c 4.607
_cell_angle_alpha 90.00
_cell_angle_beta 90.00
_cell_angle_gamma 90.00
_symmetry_space_group_name_H-M 'P m -3 m'
_symmetry_Int_Tables_number 221
_symmetry_space_group_name_Hall '-P 4 2 3'
loop_
_atom_site_label
_atom_site_type_symbol
_atom_site_fract_x
_atom_site_fract_y
_atom_site_fract_z
_atom_site_occupancy
Sc1 Sc 0.000 0.000 0.000 1
Al1 Al 0.500 0.500 0.500 1
Mo1 Mo 0.000 0.500 0.500 1

=====

# GGA-PBE ScAlMo2, optimized geometry
# - ΔE_f: 181 meV/atom
data_ScAlMo2
_chemical_formula_sum 'Sc3 Al3 Mo6'
_cell_length_a 2.9094
_cell_length_b 2.9094
_cell_length_c 27.9983
_cell_angle_alpha 90.00
_cell_angle_beta 90.00
_cell_angle_gamma 120.00
_symmetry_space_group_name_H-M 'R -3 m'
_symmetry_Int_Tables_number 166
_symmetry_space_group_name_Hall '-R 3 2"'
loop_
_atom_site_label
_atom_site_type_symbol
_atom_site_fract_x
_atom_site_fract_y
_atom_site_fract_z
_atom_site_occupancy
Sc1 Sc 0.0000 0.0000 0.0000 1
Al1 Al 0.0000 0.0000 0.5000 1
Mo1 Mo 0.0000 0.0000 0.2457 1

=====

no.,DOS at the Fermi energy (states/eV per cell)
1,10.4
2,10.3
3,3.1
4,7.6
5,1.3
6,0.5
7,9.8
8,2.2
9,1.6
10,7.1
11,8.6
12,7.2